(1)
# TmGaRh

Crystalline TmGaRh at its relaxed geometry (GGA-PBE, Alexandria via LeMat-Bulk).

Lattice parameters (Å, degrees): 7.0609 7.0609 6.6528 107.31 107.31 116.05
Last column: nearest neighbours and their distance in Å.
Element x y z (fractional)
Tm 0.6250 0.8750 0.2500  4 Rh 2.88-3.19, 2 Ga 3.18
Tm 0.1250 0.3750 0.7500  4 Rh 2.88-3.19, 2 Ga 3.18
Tm 0.6250 0.3750 0.7500  4 Rh 2.88-3.19, 2 Ga 3.18
Tm 0.6250 0.3750 0.2500  4 Rh 2.88-3.19, 2 Ga 3.18
Ga 0.8731 0.8731 0.7462  4 Rh 2.46-2.55
Ga 0.1269 0.1269 0.2538  4 Rh 2.46-2.55
Ga 0.1231 0.6231 0.2462  4 Rh 2.46-2.55
Ga 0.3769 0.8769 0.7538  4 Rh 2.46-2.55
Rh 0.0715 0.9285 0.5000  4 Ga 2.46-2.55
Rh 0.8215 0.1785 0.0000  4 Ga 2.46-2.55
Rh 0.1785 0.8215 0.0000  4 Ga 2.46-2.55
Rh 0.4285 0.5715 0.5000  4 Ga 2.46-2.55

**Calculated total energy**: -0.20400 Ha/atom
**Total magnetization**: 0.0 μB per cell
**Density of states at the Fermi level**: 1.89 states/eV/f.u.


(2)
# Tm6Ga2Rh

Crystalline Tm6Ga2Rh at its relaxed geometry (GGA-PBE, Alexandria via LeMat-Bulk).

Lattice parameters (Å, degrees): 4.8417 6.9093 8.3578 114.42 106.84 90.00
Last column: nearest neighbours and their distance in Å.
Element x y z (fractional)
Tm 0.8395 0.5949 0.6791  1 Rh 2.87, 3 Ga 3.00
Tm 0.1605 0.4051 0.3209  1 Rh 2.87, 3 Ga 3.00
Tm 0.1605 0.9158 0.3209  1 Rh 2.87, 3 Ga 3.00
Tm 0.5000 0.7612 0.0000  2 Rh 2.93, 2 Ga 3.02
Tm 0.5000 0.2388 0.0000  2 Rh 2.93, 2 Ga 3.02
Tm 0.8395 0.0842 0.6791  1 Rh 2.87, 3 Ga 3.00
Rh 0.0000 0.0000 0.0000  8 Tm 2.87-2.93
Ga 0.3320 0.3320 0.6639  8 Tm 3.00-3.02
Ga 0.6680 0.6680 0.3361  8 Tm 3.00-3.02

**Calculated total energy**: -0.17848 Ha/atom
**Total magnetization**: 0.0 μB per cell
**Density of states at the Fermi level**: 7.54 states/eV/f.u.


(3)
# TmGa3Rh

Crystalline TmGa3Rh at its relaxed geometry (GGA-PBE, Alexandria via LeMat-Bulk).

Lattice parameters (Å, degrees): 4.1343 6.9524 4.8693 135.55 90.00 90.00
Last column: nearest neighbours and their distance in Å.
Element x y z (fractional)
Rh 0.0000 0.5923 0.1847  4 Ga 2.40-2.47
Ga 0.0000 0.0509 0.4728  1 Rh 2.40, 3 Ga 2.58-2.66
Ga 0.0000 0.4219 0.4728  1 Rh 2.40, 3 Ga 2.58-2.66
Ga 0.5000 0.3930 0.7860  2 Rh 2.47, 4 Ga 2.66
Tm 0.5000 0.8964 0.7929  2 Rh 2.93, 4 Ga 3.20

**Total magnetization**: 0.0 μB per cell
**Density of states at the Fermi level**: 1.56 states/eV/f.u.
**Energy above the most stable polymorph in this dataset**: 0.208 eV per atom


(4)
# TmGaRh3

Crystalline TmGaRh3 at its relaxed geometry (GGA-PBE, Alexandria via LeMat-Bulk).

Lattice parameters (Å, degrees): 6.2895 6.2895 6.2895 107.11 129.02 94.37
Last column: nearest neighbours and their distance in Å.
Element x y z (fractional)
Tm 0.9922 0.7422 0.7500  5 Rh 2.68-2.87
Tm 0.0078 0.2578 0.2500  5 Rh 2.68-2.87
Rh 0.5000 0.6941 0.6941  2 Ga 2.56, 4 Rh 2.70-2.71, 2 Tm 2.87
Rh 0.3060 0.0560 0.7500  2 Ga 2.50, 1 Tm 2.68, 4 Rh 2.70
Rh 0.6940 0.9440 0.2500  2 Ga 2.50, 1 Tm 2.68, 4 Rh 2.70
Rh 0.5000 0.3059 0.3059  2 Ga 2.56, 4 Rh 2.70-2.71, 2 Tm 2.87
Rh 0.0000 0.6941 0.1941  2 Ga 2.56, 4 Rh 2.70-2.71, 2 Tm 2.87
Rh 0.0000 0.3059 0.8059  2 Ga 2.56, 4 Rh 2.70-2.71, 2 Tm 2.87
Ga 0.5000 0.5000 0.0000  6 Rh 2.50-2.56
Ga 0.5000 0.0000 0.5000  6 Rh 2.50-2.56

**Calculated total energy**: -0.23883 Ha/atom
**Total magnetization**: 0.0 μB per cell
**Density of states at the Fermi level**: 4.46 states/eV/f.u.